Entry from Alexandria via LeMat-Bulk: SmDyErTh after structural relaxation (GGA-PBE). Values from VASP.

```
&SYSTEM
  ibrav = 0, nat = 4, ntyp = 4
/
ATOMIC_SPECIES
Dy 162.50 Dy.upf
Sm 150.36 Sm.upf
Th 232.04 Th.upf
Er 167.26 Er.upf
CELL_PARAMETERS angstrom
-4.419 -3.522 -0.537
-1.980 -2.781 4.534
-5.033 1.404 2.216
ATOMIC_POSITIONS crystal
Dy 0.000 0.000 0.000
Sm 0.250 0.250 0.250
Th 0.750 0.750 0.750
Er 0.500 0.500 0.500
```

Values from the calculation:
The total energy comes out at -20.7 eV for the cell shown. The density of states at the Fermi level is 8.4 states/eV/f.u. For the formation energy, the calculation gives 140 meV per atom. The space-group type is No. 216. The density comes out at 9.15 g cm⁻³. The value obtained for the polymorph energy (0 for the lowest one) is 129 meV/atom.